Compound: NaAl2Zn10
Source: Alexandria
Functional: PBE-GGA
Structure: optimized geometry

Summary:
As for the density of states at the Fermi level: 2.30 states/eV per cell. Its calculated formation energy is 0.00 eV per atom. As for the raw total energy: -21.57 eV for the cell shown.

Cell lengths 8.9107, 6.8667, 6.8529 Å; angles 81.01, 49.56, 49.43 degrees
With the nearest neighbours (Å) after each atom.
Fractional coordinates of all 13 atoms:
Na 0.0000 0.0000 0.0000  16 Zn 3.14-3.43, 4 Al 3.43
Al 0.0000 0.5000 0.0000  8 Zn 2.65-2.76, 2 Al 2.71
Al 0.5000 0.0000 0.5000  8 Zn 2.65-2.76, 2 Al 2.71
Zn 0.0000 0.0000 0.5000  10 Zn 2.60-2.76
Zn 0.0006 0.6479 0.3521  5 Zn 2.64-2.84, 2 Al 2.76
Zn 0.2792 0.5032 0.4968  6 Zn 2.60-2.84, 2 Al 2.65
Zn 0.3521 0.9994 0.0006  5 Zn 2.64-2.84, 2 Al 2.76
Zn 0.4968 0.7208 0.2792  6 Zn 2.60-2.84, 2 Al 2.65
Zn 0.5000 0.5000 0.0000  10 Zn 2.60-2.76
Zn 0.5032 0.2792 0.7208  6 Zn 2.60-2.84, 2 Al 2.65
Zn 0.6479 0.0006 0.9994  5 Zn 2.64-2.84, 2 Al 2.76
Zn 0.7208 0.4968 0.5032  6 Zn 2.60-2.84, 2 Al 2.65
Zn 0.9994 0.3521 0.6479  5 Zn 2.64-2.84, 2 Al 2.76

=====

Compound: Li4PuPa3Te8
Source: Alexandria
Functional: PBE-GGA
Structure: optimized geometry

Summary:
The formation energy without anion corrections is -0.8980 eV/atom. As for the density of states at the Fermi level: 26.34 states/eV per cell. As for the raw total energy: -89.98 eV for the cell shown.

Cell lengths 8.7734, 8.7734, 8.7734 Å; angles 58.36, 58.36, 58.36 degrees
With the nearest neighbours (Å) after each atom.
Fractional coordinates of all 16 atoms:
Li 0.0000 0.0000 0.0000  6 Te 2.99
Li 0.0000 0.5000 0.5000  6 Te 3.00-3.02
Li 0.5000 0.0000 0.5000  6 Te 3.00-3.02
Li 0.5000 0.5000 0.0000  6 Te 3.00-3.02
Pu 0.5000 0.5000 0.5000  6 Te 3.14
Pa 0.0000 0.0000 0.5000  6 Te 3.11-3.13
Pa 0.0000 0.5000 0.0000  6 Te 3.11-3.13
Pa 0.5000 0.0000 0.0000  6 Te 3.11-3.13
Te 0.2440 0.2440 0.7493  3 Li 2.99-3.02, 2 Pa 3.11, 1 Pu 3.14
Te 0.2440 0.7493 0.2440  3 Li 2.99-3.02, 2 Pa 3.11, 1 Pu 3.14
Te 0.2507 0.7560 0.7560  3 Li 2.99-3.02, 2 Pa 3.11, 1 Pu 3.14
Te 0.2549 0.2549 0.2549  3 Li 3.00, 3 Pa 3.13
Te 0.7451 0.7451 0.7451  3 Li 3.00, 3 Pa 3.13
Te 0.7493 0.2440 0.2440  3 Li 2.99-3.02, 2 Pa 3.11, 1 Pu 3.14
Te 0.7560 0.2507 0.7560  3 Li 2.99-3.02, 2 Pa 3.11, 1 Pu 3.14
Te 0.7560 0.7560 0.2507  3 Li 2.99-3.02, 2 Pa 3.11, 1 Pu 3.14

=====

Compound: Zn4AgPd
Source: Alexandria
Functional: PBE-GGA
Structure: optimized geometry

Summary:
As for the density of states at the Fermi level: 1.51 states/eV per cell. Its calculated formation energy is -0.21 eV per atom. As for the raw total energy: -14.38 eV for the cell shown.

Cell lengths 4.9229, 4.9229, 7.1961 Å; angles 111.62, 111.62, 34.33 degrees
With the nearest neighbours (Å) after each atom.
Fractional coordinates of all 6 atoms:
Zn 0.1656 0.1656 0.3430  7 Zn 2.64-2.91, 3 Pd 2.68-2.90, 2 Ag 2.77
Zn 0.1697 0.1697 0.8243  2 Pd 2.69, 7 Zn 2.72-2.91, 3 Ag 2.80-2.87
Zn 0.8303 0.8303 0.1757  2 Pd 2.69, 7 Zn 2.72-2.91, 3 Ag 2.80-2.87
Zn 0.8344 0.8344 0.6570  7 Zn 2.64-2.91, 3 Pd 2.68-2.90, 2 Ag 2.77
Ag 0.5000 0.5000 0.0000  10 Zn 2.77-2.87, 2 Ag 2.91
Pd 0.5000 0.5000 0.5000  10 Zn 2.68-2.90, 2 Pd 2.91

=====

Compound: Mg3SeO
Source: Alexandria
Functional: PBE-GGA
Structure: optimized geometry

Summary:
The formation energy without anion corrections is -1.0340 eV/atom. As for the density of states at the Fermi level: 1.03 states/eV per cell. As for the raw total energy: -18.40 eV for the cell shown.

Cell lengths 4.4317, 4.4317, 4.4317 Å; angles 90.00, 90.00, 90.00 degrees
With the nearest neighbours (Å) after each atom.
Fractional coordinates of all 5 atoms:
Mg 0.0000 0.0000 0.5000  2 O 2.22
Mg 0.0000 0.5000 0.0000  2 O 2.22
Mg 0.5000 0.0000 0.0000  2 O 2.22
Se 0.5000 0.5000 0.5000  12 Mg 3.13
O 0.0000 0.0000 0.0000  6 Mg 2.22

=====

Compound: SrHoRh2
Source: Alexandria
Functional: PBE-GGA
Structure: optimized geometry

Summary:
As for the density of states at the Fermi level: 0.64 states/eV per cell. Its calculated formation energy is -0.54 eV per atom. As for the raw total energy: -23.13 eV for the cell shown.

Cell lengths 3.4671, 3.4671, 7.2249 Å; angles 90.00, 90.00, 90.00 degrees
With the nearest neighbours (Å) after each atom.
Fractional coordinates of all 4 atoms:
Sr 0.0000 0.0000 0.0000  8 Rh 3.20, 4 Sr 3.47
Ho 0.0000 0.0000 0.5000  8 Rh 2.90
Rh 0.5000 0.5000 0.2850  4 Ho 2.90, 1 Rh 3.11, 4 Sr 3.20
Rh 0.5000 0.5000 0.7150  4 Ho 2.90, 1 Rh 3.11, 4 Sr 3.20

=====

Compound: ScPaZnOs
Source: Alexandria
Functional: PBE-GGA
Structure: optimized geometry

Summary:
As for the density of states at the Fermi level: 3.72 states/eV per cell. Its calculated formation energy is -0.22 eV per atom. As for the raw total energy: -29.20 eV for the cell shown.

Cell lengths 4.8016, 4.8016, 4.8016 Å; angles 60.00, 60.00, 60.00 degrees
With the nearest neighbours (Å) after each atom.
Fractional coordinates of all 4 atoms:
Sc 0.0000 0.0000 0.0000  4 Os 2.94, 4 Zn 2.94
Pa 0.5000 0.5000 0.5000  4 Os 2.94, 4 Zn 2.94
Zn 0.7500 0.7500 0.7500  4 Pa 2.94, 4 Sc 2.94
Os 0.2500 0.2500 0.2500  4 Pa 2.94, 4 Sc 2.94

=====

Compound: KHfCd2Te
Source: Alexandria
Functional: PBE-GGA
Structure: optimized geometry

Summary:
The formation energy without anion corrections is 0.8376 eV/atom. As for the density of states at the Fermi level: 4.80 states/eV per cell. As for the raw total energy: -11.83 eV for the cell shown.

Cell lengths 5.6259, 5.6259, 6.7043 Å; angles 90.00, 90.00, 90.00 degrees
With the nearest neighbours (Å) after each atom.
Fractional coordinates of all 5 atoms:
K 0.0000 0.0000 0.0000  2 Hf 3.35
Hf 0.0000 0.0000 0.5000  4 Cd 2.81
Cd 0.0000 0.5000 0.5000  2 Hf 2.81
Cd 0.5000 0.0000 0.5000  2 Hf 2.81
Te 0.5000 0.5000 0.0000  4 K 3.98, 8 Cd 4.38

=====

Compound: Rb3HfU3S8
Source: Alexandria
Functional: PBE-GGA
Structure: optimized geometry

Summary:
The formation energy without anion corrections is -1.4244 eV/atom. As for the density of states at the Fermi level: 12.66 states/eV per cell. As for the raw total energy: -101.11 eV for the cell shown.

Cell lengths 9.1401, 9.1401, 9.1401 Å; angles 51.18, 51.18, 51.18 degrees
With the nearest neighbours (Å) after each atom.
Fractional coordinates of all 15 atoms:
Rb 0.0000 0.5000 0.5000  6 S 3.31-3.34
Rb 0.5000 0.0000 0.5000  6 S 3.31-3.34
Rb 0.5000 0.5000 0.0000  6 S 3.31-3.34
Hf 0.5000 0.5000 0.5000  6 S 2.61
U 0.0000 0.0000 0.5000  6 S 2.76
U 0.0000 0.5000 0.0000  6 S 2.76
U 0.5000 0.0000 0.0000  6 S 2.76
S 0.2322 0.2322 0.2322  3 U 2.76
S 0.2464 0.7193 0.7193  1 Hf 2.61, 2 U 2.76
S 0.2807 0.2807 0.7536  1 Hf 2.61, 2 U 2.76
S 0.2807 0.7536 0.2807  1 Hf 2.61, 2 U 2.76
S 0.7193 0.2464 0.7193  1 Hf 2.61, 2 U 2.76
S 0.7193 0.7193 0.2464  1 Hf 2.61, 2 U 2.76
S 0.7536 0.2807 0.2807  1 Hf 2.61, 2 U 2.76
S 0.7678 0.7678 0.7678  3 U 2.76

=====

Compound: Tb2Pm3ErS6
Source: Alexandria
Functional: PBE-GGA
Structure: optimized geometry

Summary:
The formation energy without anion corrections is -2.0191 eV/atom. As for the density of states at the Fermi level: 5.26 states/eV per cell. As for the raw total energy: -77.07 eV for the cell shown.

Cell lengths 6.8577, 6.8577, 6.9159 Å; angles 99.48, 99.48, 120.17 degrees
With the nearest neighbours (Å) after each atom.
Fractional coordinates of all 12 atoms:
Tb 0.1668 0.8332 0.0000  6 S 2.77-2.78
Tb 0.8332 0.1668 0.0000  6 S 2.77-2.78
Pm 0.0000 0.0000 0.5000  6 S 2.85-2.87
Pm 0.3315 0.6685 0.5000  6 S 2.84-2.86
Pm 0.6685 0.3315 0.5000  6 S 2.84-2.86
Er 0.5000 0.5000 0.0000  6 S 2.74
S 0.0915 0.4210 0.7627  1 Er 2.74, 2 Tb 2.77, 3 Pm 2.84-2.86
S 0.2500 0.2500 0.2388  1 Er 2.74, 2 Tb 2.78, 3 Pm 2.86-2.87
S 0.4210 0.0915 0.7627  1 Er 2.74, 2 Tb 2.77, 3 Pm 2.84-2.86
S 0.5790 0.9085 0.2373  1 Er 2.74, 2 Tb 2.77, 3 Pm 2.84-2.86
S 0.7500 0.7500 0.7612  1 Er 2.74, 2 Tb 2.78, 3 Pm 2.86-2.87
S 0.9085 0.5790 0.2373  1 Er 2.74, 2 Tb 2.77, 3 Pm 2.84-2.86

=====

Compound: Ta2BePt
Source: Alexandria
Functional: PBE-GGA
Structure: optimized geometry

Summary:
As for the density of states at the Fermi level: 3.19 states/eV per cell. Its calculated formation energy is 0.01 eV per atom. As for the raw total energy: -33.42 eV for the cell shown.

Cell lengths 9.1693, 9.1693, 9.1693 Å; angles 17.82, 17.82, 17.82 degrees
With the nearest neighbours (Å) after each atom.
Fractional coordinates of all 4 atoms:
Ta 0.2462 0.2462 0.2462  3 Be 2.70, 6 Ta 2.84, 3 Pt 2.87
Ta 0.7538 0.7538 0.7538  3 Be 2.70, 6 Ta 2.84, 3 Pt 2.87
Be 0.5000 0.5000 0.5000  6 Ta 2.70, 6 Be 2.84
Pt 0.0000 0.0000 0.0000  6 Pt 2.84, 6 Ta 2.87

=====

Compound: Dy3PdO6
Source: Alexandria
Functional: PBE-GGA
Structure: optimized geometry

Summary:
The formation energy without anion corrections is -2.6965 eV/atom. As for the density of states at the Fermi level: 2.05 states/eV per cell. As for the raw total energy: -151.43 eV for the cell shown.

Cell lengths 7.1268, 7.1268, 5.5225 Å; angles 90.00, 90.00, 101.86 degrees
With the nearest neighbours (Å) after each atom.
Fractional coordinates of all 20 atoms:
Dy 0.1024 0.8976 0.5000  7 O 2.29-2.45
Dy 0.1758 0.4091 0.4474  6 O 2.23-2.42
Dy 0.4091 0.1758 0.9474  6 O 2.23-2.42
Dy 0.5909 0.8242 0.4474  6 O 2.23-2.42
Dy 0.8242 0.5909 0.9474  6 O 2.23-2.42
Dy 0.8976 0.1024 0.0000  7 O 2.29-2.45
Pd 0.3630 0.6370 0.9415  5 O 2.00-2.18
Pd 0.6370 0.3630 0.4415  5 O 2.00-2.18
O 0.0958 0.6063 0.7388  1 Pd 2.18, 2 Dy 2.24-2.28
O 0.1437 0.1741 0.7218  4 Dy 2.23-2.31
O 0.1741 0.1437 0.2218  4 Dy 2.23-2.31
O 0.2789 0.7211 0.2625  1 Pd 2.00
O 0.3937 0.9042 0.7388  1 Pd 2.18, 2 Dy 2.24-2.28
O 0.4768 0.5232 0.6362  2 Pd 2.07-2.10
O 0.5232 0.4768 0.1362  2 Pd 2.07-2.10
O 0.6063 0.0958 0.2388  1 Pd 2.18, 2 Dy 2.24-2.28
O 0.7211 0.2789 0.7625  1 Pd 2.00
O 0.8259 0.8563 0.7218  4 Dy 2.23-2.31
O 0.8563 0.8259 0.2218  4 Dy 2.23-2.31
O 0.9042 0.3937 0.2388  1 Pd 2.18, 2 Dy 2.24-2.28

=====

Compound: TbThGe2O8
Source: Alexandria
Functional: PBE-GGA
Structure: optimized geometry

Summary:
The formation energy without anion corrections is -2.5010 eV/atom. As for the density of states at the Fermi level: 9.27 states/eV per cell. As for the raw total energy: -90.96 eV for the cell shown.

Cell lengths 6.0645, 6.0645, 6.0645 Å; angles 107.23, 107.23, 114.06 degrees
With the nearest neighbours (Å) after each atom.
Fractional coordinates of all 12 atoms:
Tb 0.0000 0.0000 0.0000  8 O 2.32-2.47
Th 0.2500 0.7500 0.5000  8 O 2.34-2.49
Ge 0.5000 0.5000 0.0000  4 O 1.77
Ge 0.7500 0.2500 0.5000  4 O 1.77
O 0.3183 0.1373 0.8190  1 Ge 1.77
O 0.3183 0.4993 0.1810  1 Ge 1.77
O 0.3869 0.0705 0.3164  1 Ge 1.77
O 0.5007 0.6817 0.8190  1 Ge 1.77
O 0.7541 0.0705 0.6836  1 Ge 1.77
O 0.8627 0.6817 0.1810  1 Ge 1.77
O 0.9295 0.2459 0.3164  1 Ge 1.77
O 0.9295 0.6131 0.6836  1 Ge 1.77

=====

Compound: LaTiAlV
Source: Alexandria
Functional: PBE-GGA
Structure: optimized geometry

Summary:
As for the density of states at the Fermi level: 5.75 states/eV per cell. Its calculated formation energy is 0.21 eV per atom. As for the raw total energy: -24.84 eV for the cell shown.

Cell lengths 2.8543, 4.2456, 6.5708 Å; angles 90.00, 90.00, 90.00 degrees
With the nearest neighbours (Å) after each atom.
Fractional coordinates of all 4 atoms:
La 0.0000 0.0000 0.0000  2 La 2.85, 2 V 2.92, 2 Ti 3.08
Ti 0.0000 0.5000 0.6610  1 V 2.33
Al 0.5000 0.0000 0.4688  4 V 2.77, 4 Ti 2.85, 2 Al 2.85
V 0.0000 0.5000 0.3062  1 Ti 2.33

=====

Compound: MnAlAu5
Source: Alexandria
Functional: PBE-GGA
Structure: optimized geometry

Summary:
As for the density of states at the Fermi level: 5.55 states/eV per cell. Its calculated formation energy is -0.05 eV per atom. As for the raw total energy: -59.30 eV for the cell shown.

Cell lengths 7.4572, 7.4572, 6.5429 Å; angles 115.99, 115.99, 97.84 degrees
With the nearest neighbours (Å) after each atom.
Fractional coordinates of all 14 atoms:
Mn 0.0176 0.9824 0.7500  8 Au 2.69-2.70
Mn 0.9824 0.0176 0.2500  8 Au 2.69-2.70
Al 0.5000 0.5000 0.0000  6 Au 2.58-2.78
Al 0.5000 0.5000 0.5000  6 Au 2.58-2.78
Au 0.0795 0.3414 0.7382  1 Al 2.58, 2 Mn 2.69-2.70, 2 Au 2.74-2.89
Au 0.0796 0.3417 0.1835  1 Al 2.58, 2 Mn 2.70, 2 Au 2.74-2.89
Au 0.3006 0.6994 0.7500  2 Al 2.78, 8 Au 2.89-3.05
Au 0.3414 0.0795 0.2382  1 Al 2.58, 2 Mn 2.69-2.70, 2 Au 2.74-2.89
Au 0.3417 0.0796 0.6835  1 Al 2.58, 2 Mn 2.70, 2 Au 2.74-2.89
Au 0.6583 0.9204 0.3165  1 Al 2.58, 2 Mn 2.70, 2 Au 2.74-2.89
Au 0.6586 0.9205 0.7618  1 Al 2.58, 2 Mn 2.69-2.70, 2 Au 2.74-2.89
Au 0.6994 0.3006 0.2500  2 Al 2.78, 8 Au 2.89-3.05
Au 0.9204 0.6583 0.8165  1 Al 2.58, 2 Mn 2.70, 2 Au 2.74-2.89
Au 0.9205 0.6586 0.2618  1 Al 2.58, 2 Mn 2.69-2.70, 2 Au 2.74-2.89

=====

Compound: NiBr3N
Source: Alexandria
Functional: PBE-GGA
Structure: optimized geometry

Summary:
The formation energy without anion corrections is 1.2952 eV/atom. As for the density of states at the Fermi level: 10.84 states/eV per cell. As for the raw total energy: -12.65 eV for the cell shown.

Cell lengths 4.6672, 4.6672, 4.6672 Å; angles 90.00, 90.00, 90.00 degrees
With the nearest neighbours (Å) after each atom.
Fractional coordinates of all 5 atoms:
Ni 0.0000 0.0000 0.0000  12 Br 3.30
Br 0.0000 0.5000 0.5000  2 N 2.33
Br 0.5000 0.0000 0.5000  2 N 2.33
Br 0.5000 0.5000 0.0000  2 N 2.33
N 0.5000 0.5000 0.5000  6 Br 2.33